# NbNiHPt2

NbNiHPt2 at its PBEsol-relaxed geometry (SCAN, Alexandria via LeMat-Bulk).

For the density of states at the Fermi level, the calculation gives 0.8420 states/eV/atom. The value obtained for the total DFT energy (no corrections) is -37.937 eV per atom. The value obtained for the spin magnetization is 1.2 μB/f.u.

It has space group P4/mmm (No. 123), with a = 4.850 Å, b = 4.850 Å, c = 3.279 Å, α = 90.00°, β = 90.00° and γ = 90.00°. The inequivalent atoms are Nb at (0.000, 0.000, 0.000), Ni at (0.500, 0.500, 0.500), H at (0.000, 0.000, 0.500) and Pt at (0.000, 0.500, 0.000).